[1]
UPd2Se3 | PBE | optimized geometry

Computed properties:
Its symmetry is P2_1/m. The value obtained for the energy above the most stable polymorph in this dataset is 0 meV per atom.

Lattice parameters (Å, degrees): 6.6457 4.1197 10.4256 90.00 92.70 90.00
Fractional coordinates of all 12 atoms:
1 U 0.1986 0.2500 0.3258
2 U 0.8014 0.7500 0.6742
3 Pd 0.0408 0.7500 0.0891
4 Pd 0.4242 0.2500 0.5745
5 Pd 0.5758 0.7500 0.4255
6 Pd 0.9592 0.2500 0.9109
7 Se 0.1287 0.7500 0.8470
8 Se 0.1910 0.7500 0.5301
9 Se 0.3962 0.7500 0.2001
10 Se 0.6038 0.2500 0.7999
11 Se 0.8090 0.2500 0.4699
12 Se 0.8713 0.2500 0.1530



[2]
Ce3NdY2Se6 | PBE | optimized geometry

Computed properties:
Its symmetry is C2/m. The total energy is -6.51 eV per atom.

Lattice parameters (Å, degrees): 7.2010 7.2010 7.2651 99.52 99.52 120.03
Fractional coordinates of all 12 atoms:
1 Ce 0.0000 0.0000 0.0000
2 Ce 0.3370 0.6630 0.0000
3 Ce 0.6630 0.3370 0.0000
4 Nd 0.5000 0.5000 0.5000
5 Y 0.1672 0.8328 0.5000
6 Y 0.8328 0.1672 0.5000
7 Se 0.0775 0.4184 0.2555
8 Se 0.2389 0.2389 0.7405
9 Se 0.4184 0.0775 0.2555
10 Se 0.5816 0.9225 0.7445
11 Se 0.7611 0.7611 0.2595
12 Se 0.9225 0.5816 0.7445



[3]
Mn3TcS | PBE | optimized geometry

Computed properties:
Its symmetry is Pm-3m. The value obtained for the energy above the most stable polymorph in this dataset is 669 meV per atom.

Lattice parameters (Å, degrees): 4.6434 4.6434 4.6434 90.00 90.00 90.00
Fractional coordinates of all 5 atoms:
1 Mn 0.0000 0.0000 0.5000
2 Mn 0.0000 0.5000 0.0000
3 Mn 0.5000 0.0000 0.0000
4 Tc 0.0000 0.0000 0.0000
5 S 0.5000 0.5000 0.5000



[4]
Na3H7Ru | PBE | optimized geometry

Computed properties:
Its symmetry is P4_2/mnm. The value obtained for the energy above the most stable polymorph in this dataset is 0 meV per atom.

Lattice parameters (Å, degrees): 9.4621 9.4621 5.2270 90.00 90.00 90.00
Fractional coordinates of all 44 atoms:
1 Na 0.0333 0.3023 0.0000
2 Na 0.1158 0.8842 0.5000
3 Na 0.1977 0.5333 0.5000
4 Na 0.3023 0.0333 0.0000
5 Na 0.3842 0.3842 0.0000
6 Na 0.4667 0.8023 0.5000
7 Na 0.5333 0.1977 0.5000
8 Na 0.6158 0.6158 0.0000
9 Na 0.6977 0.9667 0.0000
10 Na 0.8023 0.4667 0.5000
11 Na 0.8842 0.1158 0.5000
12 Na 0.9667 0.6977 0.0000
13 H 0.0671 0.3255 0.5000
14 H 0.1041 0.1041 0.3001
15 H 0.1041 0.1041 0.6999
16 H 0.1745 0.5671 0.0000
17 H 0.1739 0.8261 0.0000
18 H 0.2423 0.2423 0.2034
19 H 0.2423 0.2423 0.7966
20 H 0.2577 0.7423 0.2966
21 H 0.2577 0.7423 0.7034
22 H 0.3255 0.0671 0.5000
23 H 0.3261 0.3261 0.5000
24 H 0.3959 0.6041 0.1999
25 H 0.3959 0.6041 0.8001
26 H 0.4329 0.8255 0.0000
27 H 0.5671 0.1745 0.0000
28 H 0.6041 0.3959 0.1999
29 H 0.6041 0.3959 0.8001
30 H 0.6739 0.6739 0.5000
31 H 0.6745 0.9329 0.5000
32 H 0.7423 0.2577 0.2966
33 H 0.7423 0.2577 0.7034
34 H 0.7577 0.7577 0.2034
35 H 0.7577 0.7577 0.7966
36 H 0.8261 0.1739 0.0000
37 H 0.8255 0.4329 0.0000
38 H 0.8959 0.8959 0.3001
39 H 0.8959 0.8959 0.6999
40 H 0.9329 0.6745 0.5000
41 Ru 0.2018 0.2018 0.5000
42 Ru 0.2982 0.7018 0.0000
43 Ru 0.7018 0.2982 0.0000
44 Ru 0.7982 0.7982 0.5000



[5]
Al2HgOs | PBE | optimized geometry

Computed properties:
The calculation puts the energy relative to the elements at 8.0 kcal/mol of atoms. Its symmetry is Cmm2.

Lattice parameters (Å, degrees): 2.8123 2.8123 10.5045 90.00 90.00 118.79
Fractional coordinates of all 4 atoms:
1 Al 0.0000 0.0000 0.0000
2 Al 0.5000 0.5000 0.2283
3 Hg 0.5000 0.5000 0.6818
4 Os 0.0000 0.0000 0.4231



[6]
KP2Pd5 | PBE | optimized geometry

Computed properties:
The calculation puts the energy relative to the elements at -10.7 kcal/mol of atoms. Its symmetry is Immm.

Lattice parameters (Å, degrees): 6.4563 6.4563 6.4563 143.63 114.68 77.13
Fractional coordinates of all 8 atoms:
1 K 0.0000 0.0000 0.0000
2 P 0.2689 0.7689 0.5000
3 P 0.7311 0.2311 0.5000
4 Pd 0.1413 0.3362 0.8051
5 Pd 0.4688 0.6638 0.8051
6 Pd 0.5000 0.0000 0.5000
7 Pd 0.5312 0.3362 0.1949
8 Pd 0.8587 0.6638 0.1949



[7]
Tb2CuAgS4 | PBE | optimized geometry

Computed properties:
Its symmetry is Imma. The total energy is -5.33 eV per atom.

Lattice parameters (Å, degrees): 7.8297 7.8297 7.8297 114.62 113.44 100.70
Fractional coordinates of all 16 atoms:
1 Tb 0.0000 0.0000 0.0000
2 Tb 0.5000 0.0000 0.0000
3 Tb 0.5000 0.0000 0.5000
4 Tb 0.5000 0.5000 0.5000
5 Cu 0.0000 0.0000 0.5000
6 Cu 0.0000 0.5000 0.0000
7 Ag 0.0000 0.5000 0.5000
8 Ag 0.5000 0.5000 0.0000
9 S 0.2231 0.1894 0.4663
10 S 0.2231 0.7569 0.0337
11 S 0.2803 0.7388 0.5415
12 S 0.3026 0.2612 0.0415
13 S 0.6974 0.7388 0.9585
14 S 0.7197 0.2612 0.4585
15 S 0.7769 0.2431 0.9663
16 S 0.7769 0.8106 0.5337



[8]
Ba2RuN | PBE | optimized geometry

Computed properties:
Its symmetry is I-42d. The total energy is -4.59 eV per atom.

Lattice parameters (Å, degrees): 6.8444 6.8444 6.8444 110.74 110.74 106.96
Fractional coordinates of all 8 atoms:
1 Ba 0.0559 0.1250 0.4309
2 Ba 0.3750 0.9441 0.0691
3 Ba 0.6941 0.6250 0.5691
4 Ba 0.8750 0.3059 0.9309
5 Ru 0.2500 0.7500 0.5000
6 Ru 0.5000 0.5000 0.0000
7 N 0.0000 0.0000 0.0000
8 N 0.7500 0.2500 0.5000



[9]
KCuSb3 | PBE | optimized geometry

Computed properties:
Its symmetry is Pm-3m. The value obtained for the energy above the most stable polymorph in this dataset is 131 meV per atom.

Lattice parameters (Å, degrees): 5.2783 5.2783 5.2783 90.00 90.00 90.00
Fractional coordinates of all 5 atoms:
1 K 0.0000 0.0000 0.0000
2 Cu 0.5000 0.5000 0.5000
3 Sb 0.0000 0.5000 0.5000
4 Sb 0.5000 0.0000 0.5000
5 Sb 0.5000 0.5000 0.0000



[10]
VZn2Ir2 | PBE | optimized geometry

Computed properties:
The calculation puts the energy relative to the elements at 0.9 kcal/mol of atoms. Its symmetry is P4/mbm. The value obtained for the energy above the most stable polymorph in this dataset is 356 meV per atom.

Lattice parameters (Å, degrees): 6.9356 6.9356 3.1103 90.00 90.00 90.00
Fractional coordinates of all 10 atoms:
1 V 0.0000 0.0000 0.0000
2 V 0.5000 0.5000 0.0000
3 Zn 0.1586 0.3414 0.5000
4 Zn 0.3414 0.8414 0.5000
5 Zn 0.6586 0.1586 0.5000
6 Zn 0.8414 0.6586 0.5000
7 Ir 0.1412 0.6412 0.0000
8 Ir 0.3588 0.1412 0.0000
9 Ir 0.6412 0.8588 0.0000
10 Ir 0.8588 0.3588 0.0000



[11]
Cs2Np2AuSe6 | PBE | optimized geometry

Computed properties:
Its symmetry is C2/m. The total energy is -5.65 eV per atom.

Lattice parameters (Å, degrees): 7.5588 7.5588 8.8098 95.92 95.92 126.41
Fractional coordinates of all 11 atoms:
1 Cs 0.1455 0.8545 0.0000
2 Cs 0.8545 0.1455 0.0000
3 Np 0.3375 0.6625 0.5000
4 Np 0.6625 0.3375 0.5000
5 Au 0.0000 0.0000 0.5000
6 Se 0.0447 0.4392 0.6908
7 Se 0.2644 0.2644 0.3397
8 Se 0.4392 0.0447 0.6908
9 Se 0.5608 0.9553 0.3092
10 Se 0.7356 0.7356 0.6603
11 Se 0.9553 0.5608 0.3092



[12]
Nb2BSbH | PBE | optimized geometry

Computed properties:
Its symmetry is P4/mmm. The value obtained for the energy above the most stable polymorph in this dataset is 363 meV per atom.

Lattice parameters (Å, degrees): 3.9904 3.9904 4.4976 90.00 90.00 90.00
Fractional coordinates of all 5 atoms:
1 Nb 0.0000 0.5000 0.0000
2 Nb 0.5000 0.0000 0.0000
3 B 0.0000 0.0000 0.5000
4 Sb 0.5000 0.5000 0.5000
5 H 0.5000 0.5000 0.0000